No. 1
K2URhO6 | GGA-PBE | optimized geometry Values from VASP.

Quantum ESPRESSO input file:
```
&SYSTEM
  ibrav = 0, nat = 10, ntyp = 4
/
ATOMIC_SPECIES
K 39.10 K.upf
U 238.03 U.upf
Rh 102.91 Rh.upf
O 16.00 O.upf
ATOMIC_POSITIONS crystal
K 0.7500 0.2500 0.5001
K 0.2500 0.7500 0.4999
U 0.0000 0.0000 0.0000
Rh 0.5000 0.5000 0.0000
O 0.2544 0.2544 0.4913
O 0.7462 0.7459 0.0002
O 0.2539 0.7464 0.0000
O 0.7461 0.2536 0.0000
O 0.2538 0.2541 0.9998
O 0.7456 0.7456 0.5087
CELL_PARAMETERS angstrom
5.8147 -0.0004 0.0001
-0.0005 5.8144 0.0001
2.9071 2.9071 4.1098
```

* E_tot: -71.05 eV for the cell shown
* space-group type: Fm-3m
* total magnetic moment: 0.00 μB/cell
* V: 139 Å³/f.u.

No. 2
K2URh3O12 | GGA-PBE | optimized geometry Values from VASP.

Quantum ESPRESSO input file:
```
&SYSTEM
  ibrav = 0, nat = 18, ntyp = 4
/
ATOMIC_SPECIES
K 39.10 K.upf
U 238.03 U.upf
Rh 102.91 Rh.upf
O 16.00 O.upf
ATOMIC_POSITIONS crystal
K 0.6071 0.6071 0.6071
K 0.3929 0.3929 0.3929
U 0.0000 0.0000 0.0000
Rh 0.5000 0.0000 0.0000
Rh 0.0000 0.5000 0.0000
Rh 0.0000 0.0000 0.5000
O 0.3181 0.3181 0.9190
O 0.9306 0.9306 0.3304
O 0.3304 0.9306 0.9306
O 0.9190 0.3181 0.3181
O 0.9306 0.3304 0.9306
O 0.3181 0.9190 0.3181
O 0.6819 0.6819 0.0810
O 0.0694 0.0694 0.6696
O 0.6696 0.0694 0.0694
O 0.0810 0.6819 0.6819
O 0.0694 0.6696 0.0694
O 0.6819 0.0810 0.6819
CELL_PARAMETERS angstrom
7.5431 0.2285 0.1621
3.9239 6.4462 0.1621
3.9239 2.2840 6.0302
```

* E_tot: -118.19 eV for the cell shown
* space-group type: R-3m
* total magnetic moment: 0.43 μB/cell
* V: 283 Å³/f.u.

No. 3
KURhO6 | GGA-PBE | optimized geometry Values from VASP.

Quantum ESPRESSO input file:
```
&SYSTEM
  ibrav = 0, nat = 18, ntyp = 4
/
ATOMIC_SPECIES
K 39.10 K.upf
U 238.03 U.upf
Rh 102.91 Rh.upf
O 16.00 O.upf
ATOMIC_POSITIONS crystal
K 0.9036 0.6536 0.8071
K 0.0964 0.3464 0.1929
U 0.5000 0.5000 0.0000
U 0.5000 0.0000 0.0000
Rh 0.5000 0.0000 0.5000
Rh 0.0000 0.0000 0.5000
O 0.4225 0.6725 0.8449
O 0.8093 0.0593 0.6187
O 0.8251 0.0530 0.2473
O 0.4222 0.6943 0.2473
O 0.4222 0.0530 0.2473
O 0.8251 0.6943 0.2473
O 0.5775 0.3275 0.1551
O 0.1907 0.9407 0.3813
O 0.1749 0.9470 0.7527
O 0.5778 0.3057 0.7527
O 0.5778 0.9470 0.7527
O 0.1749 0.3057 0.7527
CELL_PARAMETERS angstrom
7.2263 0.0000 0.0000
0.0000 7.9023 0.0000
-3.6132 -3.9511 5.3298
```

* E_tot: -132.90 eV for the cell shown
* space-group type: Imma
* total magnetic moment: 1.55 μB/cell
* V: 152 Å³/f.u.

No. 4
KU2RhO8 | GGA-PBE | optimized geometry Values from VASP.

Quantum ESPRESSO input file:
```
&SYSTEM
  ibrav = 0, nat = 12, ntyp = 4
/
ATOMIC_SPECIES
K 39.10 K.upf
U 238.03 U.upf
Rh 102.91 Rh.upf
O 16.00 O.upf
ATOMIC_POSITIONS crystal
K 0.0000 0.0000 0.5000
U 0.4862 0.4862 0.7548
U 0.5138 0.5138 0.2452
Rh 0.0000 0.0000 0.0000
O 0.2064 0.7745 0.2002
O 0.7068 0.7082 0.0153
O 0.7760 0.2078 0.2000
O 0.7936 0.2255 0.7998
O 0.2932 0.2918 0.9847
O 0.2240 0.7922 0.8000
O 0.6618 0.6642 0.5147
O 0.3382 0.3358 0.4853
CELL_PARAMETERS angstrom
-1.7766 4.1896 2.0693
-4.6393 -1.8192 0.3528
1.0931 -2.3916 6.5376
```

* E_tot: -98.75 eV for the cell shown
* space-group type: P-1
* total magnetic moment: 0.00 μB/cell
* V: 175 Å³/f.u.

Which value of V does entry 2 give? 283 Å³/f.u.

Which value of V does entry 4 give? 175 Å³/f.u.

The highest V belongs to which entry? K2URh3O12